# KHf2Be

A geometry-optimized KHf2Be structure (PBE, Alexandria). Values from VASP.

Its calculated formation energy is 1.440 eV per atom. The electronic total energy is -4.7426 eV/atom. As for the magnetic moment: 0.00 μB/f.u.

Quantum ESPRESSO input file:
```
&SYSTEM
  ibrav = 0, nat = 8, ntyp = 3
/
ATOMIC_SPECIES
Hf 178.49 Hf.upf
K 39.10 K.upf
Be 9.01 Be.upf
CELL_PARAMETERS angstrom
-4.130 -3.699 1.178
2.663 -3.951 -3.069
3.368 -6.269 5.760
ATOMIC_POSITIONS angstrom
Hf 0.574 -10.404 3.436
Hf 2.644 -8.562 2.841
K -0.748 -6.897 2.996
Be 2.649 -7.023 0.873
Be -0.734 -3.825 -0.946
Hf -0.370 -3.445 1.497
K 0.000 0.000 0.000
Hf 0.954 -5.427 -0.035
```